# YIr2W

YIr2W after structural relaxation (PBE, Alexandria).

Properties
The symmetry is P4/mmm. The value obtained for the calculated volume is 17.42 Å³/atom. The formation energy from the elements is -15.9 kJ/mol of atoms. The calculation puts the density at 15.659 g cm⁻³. For the energy above the most stable polymorph in this dataset, the calculation gives 184 meV per atom. The magnetization comes out at 0.000 μB/atom.

Lattice parameters (Å, degrees): 4.8753 4.8753 2.9320 90.00 90.00 90.00
Fractional coordinates of all 4 atoms:
Ir  0.0000  0.0000  0.0000
Ir  0.5000  0.5000  0.0000
W  0.5000  0.0000  0.5000
Y  0.0000  0.5000  0.5000

---

# Y3IrW

Y3IrW after structural relaxation (PBE, Alexandria).

Properties
The symmetry is Pm-3m. The value obtained for the calculated volume is 28.95 Å³/atom. The formation energy from the elements is 62.3 kJ/mol of atoms. The calculation puts the density at 7.374 g cm⁻³. For the energy above the most stable polymorph in this dataset, the calculation gives 0 meV per atom. The magnetization comes out at 0.000 μB/atom.

Lattice parameters (Å, degrees): 5.2506 5.2506 5.2506 90.00 90.00 90.00
Fractional coordinates of all 5 atoms:
Y  0.0000  0.5000  0.0000
Y  0.0000  0.0000  0.5000
Y  0.5000  0.0000  0.0000
Ir  0.0000  0.0000  0.0000
W  0.5000  0.5000  0.5000

---

# Y2IrW

Y2IrW after structural relaxation (PBE, Alexandria).

Properties
The symmetry is I-4m2. The value obtained for the calculated volume is 20.97 Å³/atom. The formation energy from the elements is 25.4 kJ/mol of atoms. The calculation puts the density at 10.966 g cm⁻³. For the energy above the most stable polymorph in this dataset, the calculation gives 372 meV per atom. The magnetization comes out at 0.000 μB/atom.

Lattice parameters (Å, degrees): 5.7789 5.7789 5.7789 138.50 138.50 60.14
Fractional coordinates of all 4 atoms:
Ir  0.5000  0.5000  0.0000
W  0.7500  0.2500  0.5000
Y  0.0000  0.0000  0.0000
Y  0.2500  0.7500  0.5000

---

# YIr2W

YIr2W after structural relaxation (PBE, Alexandria).

Properties
The symmetry is P4/mmm. The value obtained for the calculated volume is 17.43 Å³/atom. The formation energy from the elements is -33.7 kJ/mol of atoms. The calculation puts the density at 15.653 g cm⁻³. For the energy above the most stable polymorph in this dataset, the calculation gives 0 meV per atom. The magnetization comes out at 0.000 μB/atom.

Lattice parameters (Å, degrees): 2.9856 2.9855 7.8213 90.00 90.00 90.00
Fractional coordinates of all 4 atoms:
Ir  0.0000  0.0000  0.0324
Ir  0.0000  0.0000  0.4676
W  0.5000  0.5000  0.2500
Y  0.5000  0.5000  0.7500